Entry 1:
A geometry-optimized FeNi2Pt structure, computed with PBE-GGA.

POSCAR file:
```
FeNi2Pt
1.0
-1.850 1.850 3.658
1.850 -1.850 3.658
1.850 1.850 -3.658
Fe Ni Pt
1 2 1
direct
0.000 0.000 0.000
0.250 0.750 0.500
0.750 0.250 0.500
0.500 0.500 0.000
```

Computed properties:
As for the symmetry: I4/mmm (139).

***

Entry 2:
A geometry-optimized FeNi6Pt4 structure, computed with PBE-GGA.

POSCAR file:
```
FeNi6Pt4
1.0
-2.462 2.462 6.176
2.462 -2.462 6.176
2.462 2.462 -6.176
Fe Ni Pt
1 6 4
direct
0.000 0.000 0.000
0.000 0.500 0.500
0.183 0.569 0.000
0.431 0.431 0.614
0.500 0.000 0.500
0.569 0.183 0.000
0.817 0.817 0.386
0.033 0.033 0.409
0.376 0.967 0.000
0.624 0.624 0.591
0.967 0.376 0.000
```

Computed properties:
As for the symmetry: I-42m (121).

***

Entry 3:
A geometry-optimized Fe9Ni4Pt11 structure, computed with PBE-GGA.

POSCAR file:
```
Fe9Ni4Pt11
1.0
5.489 -8.209 0.000
5.489 8.209 0.000
0.000 0.000 3.746
Fe Ni Pt
9 4 11
direct
0.000 0.000 0.000
0.128 0.630 0.000
0.293 0.451 0.000
0.370 0.872 0.000
0.451 0.293 0.000
0.549 0.707 0.000
0.630 0.128 0.000
0.707 0.549 0.000
0.872 0.370 0.000
0.047 0.242 0.000
0.242 0.047 0.000
0.758 0.953 0.000
0.953 0.758 0.000
0.086 0.421 0.500
0.157 0.843 0.500
0.231 0.231 0.500
0.333 0.667 0.500
0.421 0.086 0.500
0.500 0.500 0.500
0.579 0.914 0.500
0.667 0.333 0.500
0.769 0.769 0.500
0.843 0.157 0.500
0.914 0.579 0.500
```

Computed properties:
As for the symmetry: Cmmm (65).

***

Entry 4:
A geometry-optimized Fe6Ni5Pt2 structure, computed with PBE-GGA.

POSCAR file:
```
Fe6Ni5Pt2
1.0
8.057 0.000 0.000
0.000 10.196 0.000
0.000 0.000 4.002
Fe Ni Pt
12 10 4
direct
0.068 0.109 0.000
0.111 0.689 0.000
0.120 0.288 0.500
0.380 0.788 0.500
0.389 0.189 0.000
0.432 0.609 0.000
0.568 0.391 0.000
0.611 0.811 0.000
0.620 0.212 0.500
0.880 0.712 0.500
0.889 0.311 0.000
0.932 0.891 0.000
0.000 0.500 0.500
0.093 0.878 0.500
0.236 0.088 0.500
0.264 0.588 0.500
0.407 0.378 0.500
0.500 0.000 0.500
0.593 0.622 0.500
0.736 0.412 0.500
0.764 0.912 0.500
0.907 0.122 0.500
0.201 0.426 0.000
0.299 0.926 0.000
0.701 0.074 0.000
0.799 0.574 0.000
```

Computed properties:
As for the symmetry: Pbam (55).

***

Entry 5:
A geometry-optimized Fe2Ni5Pt12 structure, computed with PBE-GGA.

POSCAR file:
```
Fe2Ni5Pt12
1.0
7.156 -2.678 0.000
7.156 2.678 0.000
-1.699 0.000 7.877
Fe Ni Pt
2 5 12
direct
0.226 0.774 0.000
0.774 0.226 0.000
0.130 0.130 0.877
0.207 0.207 0.391
0.500 0.500 0.500
0.793 0.793 0.609
0.870 0.870 0.123
0.024 0.024 0.328
0.048 0.544 0.873
0.106 0.609 0.392
0.391 0.894 0.608
0.424 0.424 0.743
0.456 0.952 0.127
0.544 0.048 0.873
0.576 0.576 0.257
0.609 0.106 0.392
0.894 0.391 0.608
0.952 0.456 0.127
0.976 0.976 0.672
```

Computed properties:
As for the symmetry: C2/m (12). The value obtained for the relative energy among the computed polymorphs is 247 meV/atom.

***

Entry 6:
A geometry-optimized Fe2NiPt structure, computed with PBE-GGA.

POSCAR file:
```
Fe2NiPt
1.0
4.345 -1.339 0.000
4.345 1.339 0.000
-0.841 0.000 4.398
Fe Ni Pt
2 1 1
direct
0.247 0.247 0.237
0.753 0.753 0.763
0.500 0.500 0.000
0.000 0.000 0.500
```

Computed properties:
As for the symmetry: C2/m (12).

***

Entry 7:
A geometry-optimized FeNi2Pt structure, computed with PBE-GGA.

POSCAR file:
```
FeNi2Pt
1.0
-1.845 1.845 3.672
1.845 -1.845 3.672
1.845 1.845 -3.672
Fe Ni Pt
1 2 1
direct
0.000 0.000 0.000
0.250 0.750 0.500
0.500 0.500 0.000
0.750 0.250 0.500
```

Computed properties:
As for the symmetry: I-4m2 (119).

***

Entry 8:
A geometry-optimized Fe5Ni2Pt4 structure, computed with PBE-GGA.

POSCAR file:
```
Fe5Ni2Pt4
1.0
6.532 0.000 0.000
0.000 2.662 0.000
-0.457 0.000 8.538
Fe Ni Pt
5 2 4
direct
0.000 0.000 0.000
0.077 0.000 0.291
0.303 0.000 0.833
0.697 0.000 0.167
0.923 0.000 0.709
0.443 0.000 0.365
0.557 0.000 0.635
0.210 0.500 0.563
0.331 0.500 0.105
0.669 0.500 0.895
0.790 0.500 0.437
```

Computed properties:
As for the symmetry: P2/m (10).

***

Entry 9:
A geometry-optimized Fe3NiPt12 structure, computed with PBE-GGA.

POSCAR file:
```
Fe3NiPt12
1.0
3.909 0.000 0.000
0.000 3.909 0.000
0.000 0.000 15.617
Fe Ni Pt
3 1 12
direct
0.000 0.000 0.000
0.000 0.000 0.254
0.000 0.000 0.746
0.000 0.000 0.500
0.000 0.500 0.125
0.000 0.500 0.375
0.000 0.500 0.625
0.000 0.500 0.875
0.500 0.000 0.125
0.500 0.000 0.375
0.500 0.000 0.625
0.500 0.000 0.875
0.500 0.500 0.000
0.500 0.500 0.250
0.500 0.500 0.500
0.500 0.500 0.750
```

Computed properties:
As for the symmetry: P4/mmm (123).

***

Entry 10:
A geometry-optimized FeNi8Pt2 structure, computed with PBE-GGA.

POSCAR file:
```
FeNi8Pt2
1.0
3.307 -6.274 0.000
3.307 6.274 0.000
-2.822 0.000 3.338
Fe Ni Pt
1 8 2
direct
0.000 0.000 0.000
0.102 0.367 0.730
0.194 0.806 0.000
0.367 0.102 0.730
0.473 0.473 0.226
0.527 0.527 0.774
0.633 0.898 0.270
0.806 0.194 0.000
0.898 0.633 0.270
0.316 0.684 0.500
0.684 0.316 0.500
```

Computed properties:
As for the symmetry: C2/m (12). The value obtained for the relative energy among the computed polymorphs is 196 meV/atom.

***

Entry 11:
A geometry-optimized FeNi2Pt structure, computed with PBE-GGA.

POSCAR file:
```
FeNi2Pt
1.0
2.605 -3.641 0.000
2.605 3.641 0.000
0.000 0.000 2.651
Fe Ni Pt
1 2 1
direct
0.000 0.000 0.000
0.000 0.500 0.500
0.500 0.000 0.500
0.500 0.500 0.000
```

Computed properties:
As for the symmetry: Cmmm (65).

***

| no. | total moment (μB/f.u.) | E (eV per atom) |
| --- | --- | --- |
| 1 | 4.63 | -6.67 |
| 2 | 8.72 | -6.00 |
| 3 | 34.55 | -7.01 |
| 4 | 21.21 | -7.01 |
| 5 | 11.95 | -6.05 |
| 6 | 6.48 | -7.27 |
| 7 | 4.55 | -6.68 |
| 8 | 16.98 | -7.20 |
| 9 | 14.67 | -6.66 |
| 10 | 8.99 | -5.95 |
| 11 | 4.51 | -6.62 |